No. 1
Below is a geometry-optimized CaAc7La4 structure, with properties calculated at the PBE-GGA level.

Calculated values
Formation enthalpy at 0 K   0.02 eV per atom
Magnetization   0.00 μB per formula unit
V   506 Å³ per cell

a b c (Å): 6.767 7.807 10.346
angles (deg): 78.86 70.97 89.95
Space group P-1 (No. 2)
Inequivalent atoms, fractional coordinates:
Ca: 0.000 0.000 0.000 (multiplicity 1)
Ac: 0.000 0.500 0.000 (multiplicity 1)
Ac: 0.169 0.917 0.339 (multiplicity 2)
Ac: 0.334 0.337 0.663 (multiplicity 2)
Ac: 0.498 0.746 0.998 (multiplicity 2)
La: 0.167 0.414 0.335 (multiplicity 2)
La: 0.338 0.830 0.663 (multiplicity 2)

---

No. 2
Below is a geometry-optimized CaAcLa2 structure, with properties calculated at the PBE-GGA level.

Calculated values
Formation enthalpy at 0 K   0.13 eV per atom
Magnetization   0.00 μB per formula unit
V   490 Å³ per cell
Excess energy over the best structure of this formula in the dataset   0.1027 eV per atom

a b c (Å): 3.7570 3.7570 40.0449
angles (deg): 90.00 90.00 120.00
Space group R-3m (No. 166, hexagonal axes)
Inequivalent atoms, fractional coordinates:
Ca: 0.0000 0.0000 0.0000 (multiplicity 3)
Ac: 0.0000 0.0000 0.5000 (multiplicity 3)
La: 0.0000 0.0000 0.0897 (multiplicity 6)

---

No. 3
Below is a geometry-optimized CaAc6La structure, with properties calculated at the PBE-GGA level.

Calculated values
Formation enthalpy at 0 K   0.02 eV per atom
Magnetization   0.00 μB per formula unit
V   349 Å³ per cell

a b c (Å): 5.600 5.600 11.136
angles (deg): 90.00 90.00 90.00
Space group P4/mmm (No. 123)
Inequivalent atoms, fractional coordinates:
Ca: 0.000 0.000 0.000 (multiplicity 1)
Ac: 0.000 0.500 0.255 (multiplicity 4)
Ac: 0.500 0.500 0.000 (multiplicity 1)
Ac: 0.500 0.500 0.500 (multiplicity 1)
La: 0.000 0.000 0.500 (multiplicity 1)

---

No. 4
Below is a geometry-optimized Ca3Ac7La2 structure, with properties calculated at the PBE-GGA level.

Calculated values
Formation enthalpy at 0 K   0.09 eV per atom
Magnetization   0.00 μB per formula unit
V   518 Å³ per cell

a b c (Å): 7.093 3.831 19.177
angles (deg): 90.00 96.11 90.00
Space group P2/m (No. 10)
Inequivalent atoms, fractional coordinates:
Ca: 0.000 0.000 0.000 (multiplicity 1)
Ca: 0.043 0.500 0.658 (multiplicity 2)
Ac: 0.233 0.500 0.169 (multiplicity 2)
Ac: 0.253 0.000 0.501 (multiplicity 2)
Ac: 0.279 0.000 0.830 (multiplicity 2)
Ac: 0.500 0.500 0.000 (multiplicity 1)
La: 0.450 0.000 0.330 (multiplicity 2)

---

No. 5
Below is a geometry-optimized CaAc2La structure, with properties calculated at the PBE-GGA level.

Calculated values
Formation enthalpy at 0 K   0.21 eV per atom
Magnetization   0.04 μB per formula unit
V   515 Å³ per cell
Excess energy over the best structure of this formula in the dataset   0.1923 eV per atom

a b c (Å): 3.7992 3.7992 41.1791
angles (deg): 90.00 90.00 120.00
Space group R-3m (No. 166, hexagonal axes)
Inequivalent atoms, fractional coordinates:
Ca: 0.0000 0.0000 0.0000 (multiplicity 3)
Ac: 0.0000 0.0000 0.4132 (multiplicity 6)
La: 0.0000 0.0000 0.5000 (multiplicity 3)

---

No. 6
Below is a geometry-optimized Ca3Ac2La structure, with properties calculated at the PBE-GGA level.

Calculated values
Formation enthalpy at 0 K   0.13 eV per atom
Magnetization   0.00 μB per formula unit
V   1023 Å³ per cell

a b c (Å): 14.506 3.766 19.216
angles (deg): 90.00 102.96 90.00
Space group C2/m (No. 12)
Inequivalent atoms, fractional coordinates:
Ca: 0.066 0.000 0.165 (multiplicity 4)
Ca: 0.128 0.500 0.993 (multiplicity 4)
Ca: 0.222 0.500 0.333 (multiplicity 4)
Ac: 0.130 0.500 0.501 (multiplicity 4)
Ac: 0.190 0.000 0.832 (multiplicity 4)
La: 0.044 0.500 0.683 (multiplicity 4)

---

No. 7
Below is a geometry-optimized CaAc7La3 structure, with properties calculated at the PBE-GGA level.

Calculated values
Formation enthalpy at 0 K   0.23 eV per atom
Magnetization   0.00 μB per formula unit
V   971 Å³ per cell
Excess energy over the best structure of this formula in the dataset   0.0092 eV per atom

a b c (Å): 6.590 11.787 12.504
angles (deg): 90.00 90.00 90.00
Space group Immm (No. 71)
Inequivalent atoms, fractional coordinates:
Ca: 0.000 0.000 0.000 (multiplicity 2)
Ac: 0.000 0.195 0.296 (multiplicity 8)
Ac: 0.000 0.306 0.000 (multiplicity 4)
Ac: 0.000 0.500 0.500 (multiplicity 2)
La: 0.000 0.000 0.500 (multiplicity 2)
La: 0.000 0.500 0.218 (multiplicity 4)

---

No. 8
Below is a geometry-optimized CaAc2La structure, with properties calculated at the PBE-GGA level.

Calculated values
Formation enthalpy at 0 K   0.02 eV per atom
Magnetization   0.00 μB per formula unit
V   507 Å³ per cell
Excess energy over the best structure of this formula in the dataset   0.0000 eV per atom

a b c (Å): 3.9092 3.9092 38.3405
angles (deg): 90.00 90.00 120.00
Space group R-3m (No. 166, hexagonal axes)
Inequivalent atoms, fractional coordinates:
Ca: 0.0000 0.0000 0.0000 (multiplicity 3)
Ac: 0.0000 0.0000 0.2477 (multiplicity 6)
La: 0.0000 0.0000 0.5000 (multiplicity 3)

---

No. 9
Below is a geometry-optimized CaAc4La structure, with properties calculated at the PBE-GGA level.

Calculated values
Formation enthalpy at 0 K   0.24 eV per atom
Magnetization   0.00 μB per formula unit
V   1114 Å³ per cell
Excess energy over the best structure of this formula in the dataset   0.2153 eV per atom

a b c (Å): 10.368 10.368 10.368
angles (deg): 90.00 90.00 90.00
Space group F-43m (No. 216)
Inequivalent atoms, fractional coordinates:
Ca: 0.000 0.000 0.000 (multiplicity 4)
Ac: 0.124 0.124 0.376 (multiplicity 16)
La: 0.250 0.250 0.750 (multiplicity 4)

---

No. 10
Below is a geometry-optimized Ca2AcLa7 structure, with properties calculated at the PBE-GGA level.

Calculated values
Formation enthalpy at 0 K   0.08 eV per atom
Magnetization   0.00 μB per formula unit
V   772 Å³ per cell

a b c (Å): 5.744 7.391 18.191
angles (deg): 90.00 90.00 90.00
Space group Immm (No. 71)
Inequivalent atoms, fractional coordinates:
Ca: 0.000 0.000 0.199 (multiplicity 4)
Ac: 0.000 0.500 0.000 (multiplicity 2)
La: 0.000 0.000 0.000 (multiplicity 2)
La: 0.000 0.242 0.398 (multiplicity 8)
La: 0.000 0.500 0.196 (multiplicity 4)

---

No. 11
Below is a geometry-optimized CaAc6La2 structure, with properties calculated at the PBE-GGA level.

Calculated values
Formation enthalpy at 0 K   0.06 eV per atom
Magnetization   0.03 μB per formula unit
V   394 Å³ per cell
Excess energy over the best structure of this formula in the dataset   0.0000 eV per atom

a b c (Å): 3.9318 3.9318 29.3939
angles (deg): 90.00 90.00 120.00
Space group P-6m2 (No. 187)
Inequivalent atoms, fractional coordinates:
Ca: 0.0000 0.0000 0.0000 (multiplicity 1)
Ac: 0.0000 0.0000 0.2210 (multiplicity 2)
Ac: 0.0000 0.0000 0.4350 (multiplicity 2)
Ac: 0.3333 0.6667 0.1118 (multiplicity 2)
La: 0.3333 0.6667 0.3306 (multiplicity 2)

---

No. 12
Below is a geometry-optimized Ca2Ac3La structure, with properties calculated at the PBE-GGA level.

Calculated values
Formation enthalpy at 0 K   0.05 eV per atom
Magnetization   0.00 μB per formula unit
V   1016 Å³ per cell
Excess energy over the best structure of this formula in the dataset   0.0081 eV per atom

a b c (Å): 7.805 11.111 12.342
angles (deg): 90.00 108.29 90.00
Space group C2/c (No. 15)
Inequivalent atoms, fractional coordinates:
Ca: 0.168 0.125 0.086 (multiplicity 8)
Ac: 0.000 0.125 0.750 (multiplicity 4)
Ac: 0.165 0.375 0.579 (multiplicity 8)
La: 0.000 0.375 0.250 (multiplicity 4)